Record 1
The following is a DFT calculation (GGA-PBE) of DyHoSc6 after structural relaxation.

a = 5.2925 Å, b = 6.7700 Å, c = 6.7700 Å
α = 119.99°, β = 90.00°, γ = 90.00°
Site moments in Bohr magnetons follow the coordinates.
Sites, in units of the cell vectors:
Sc (0.0000, 0.5871, 0.9238)  0.15
Sc (0.0000, 0.0762, 0.4129)  0.15
Sc (0.5000, 0.9125, 0.5761)  0.15
Sc (0.5000, 0.9139, 0.0861)  0.15
Sc (0.0000, 0.5861, 0.4139)  0.15
Dy (0.0000, 0.0836, 0.9164)  0.17
Ho (0.5000, 0.4163, 0.5837)  0.18
Sc (0.5000, 0.4239, 0.0875)  0.15

Summary:
**Calculated density**: 4.7 g/cm³
**Total magnetization**: 0.250 μB per atom
**E_tot**: -5.894 eV per atom
**Formation energy from the elements**: 0.002 eV/atom
**Calculated volume**: 26.3 Å³ per atom

Record 2
The following is a DFT calculation (GGA-PBE) of Dy6HoSc after structural relaxation.

a = 4.9656 Å, b = 4.9656 Å, c = 9.8879 Å
α = 90.00°, β = 90.00°, γ = 90.00°
Sites, in units of the cell vectors:
Dy (0.5000, 0.0000, 0.2545)
Ho (0.0000, 0.0000, 0.0000)
Dy (0.5000, 0.0000, 0.7455)
Dy (0.5000, 0.5000, 0.0000)
Dy (0.0000, 0.5000, 0.2545)
Dy (0.0000, 0.5000, 0.7455)
Sc (0.0000, 0.0000, 0.5000)
Dy (0.5000, 0.5000, 0.5000)

Summary:
**Calculated density**: 8.1 g/cm³
**Total magnetization**: 0.000 μB per atom
**ΔE to the lowest computed polymorph**: 0 meV per atom
**E_tot**: -4.783 eV per atom
**Formation energy from the elements**: 0.032 eV/atom
**Calculated volume**: 30.5 Å³ per atom

Record 3
The following is a DFT calculation (GGA-PBE) of Dy3Ho6Sc2 after structural relaxation.

a = 3.4912 Å, b = 3.4912 Å, c = 31.1477 Å
α = 86.79°, β = 86.79°, γ = 60.00°
Sites, in units of the cell vectors:
Ho (0.3644, 0.3644, 0.9069)
Dy (0.2714, 0.2714, 0.1859)
Ho (0.8177, 0.8177, 0.5469)
Ho (0.0932, 0.0932, 0.7205)
Ho (0.6356, 0.6356, 0.0931)
Sc (0.5445, 0.5445, 0.3664)
Dy (0.7286, 0.7286, 0.8141)
Dy (0.0000, 0.0000, 0.0000)
Sc (0.4555, 0.4555, 0.6336)
Ho (0.9068, 0.9068, 0.2795)
Ho (0.1823, 0.1823, 0.4531)

Summary:
**Calculated density**: 7.9 g/cm³
**Total magnetization**: 0.000 μB per atom
**ΔE to the lowest computed polymorph**: 0 meV per atom
**E_tot**: -4.866 eV per atom
**Formation energy from the elements**: 0.037 eV/atom
**Calculated volume**: 29.8 Å³ per atom

Record 4
The following is a DFT calculation (GGA-PBE) of Dy3Ho4Sc2 after structural relaxation.

a = 5.9087 Å, b = 9.8389 Å, c = 9.8389 Å
α = 70.04°, β = 84.32°, γ = 84.32°
Sites, in units of the cell vectors:
Sc (0.7982, 0.2852, 0.5159)
Dy (0.9205, 0.0168, 0.3228)
Ho (0.3929, 0.1725, 0.3857)
Dy (0.5795, 0.6772, 0.9832)
Ho (0.6071, 0.8275, 0.6143)
Sc (0.7018, 0.4841, 0.7148)
Ho (0.8929, 0.3857, 0.1725)
Ho (0.0457, 0.8209, 0.0496)
Sc (0.2018, 0.7148, 0.4841)
Ho (0.4543, 0.9504, 0.1791)
Sc (0.2982, 0.5159, 0.2852)
Ho (0.9543, 0.1791, 0.9504)
Ho (0.1071, 0.6143, 0.8275)
Dy (0.2500, 0.3574, 0.6426)
Dy (0.4205, 0.3228, 0.0168)
Dy (0.7500, 0.6426, 0.3574)
Dy (0.0795, 0.9832, 0.6772)
Ho (0.5457, 0.0496, 0.8209)

Summary:
**Calculated density**: 7.7 g/cm³
**Total magnetization**: 0.000 μB per atom
**ΔE to the lowest computed polymorph**: 37 meV per atom
**E_tot**: -4.868 eV per atom
**Formation energy from the elements**: 0.108 eV/atom
**Calculated volume**: 29.6 Å³ per atom

Record 5
The following is a DFT calculation (GGA-PBE) of Dy12Ho6Sc after structural relaxation.

a = 8.4508 Å, b = 8.4508 Å, c = 8.4508 Å
α = 88.56°, β = 88.56°, γ = 88.56°
Sites, in units of the cell vectors:
Dy (0.9865, 0.8039, 0.6429)
Dy (0.5632, 0.2220, 0.4605)
Ho (0.9058, 0.3009, 0.7419)
Ho (0.7419, 0.9058, 0.3009)
Dy (0.1961, 0.3571, 0.0135)
Sc (0.0000, 0.0000, 0.0000)
Ho (0.6991, 0.2581, 0.0942)
Dy (0.8039, 0.6429, 0.9865)
Ho (0.2581, 0.0942, 0.6991)
Ho (0.0942, 0.6991, 0.2581)
Dy (0.7780, 0.5395, 0.4368)
Dy (0.4605, 0.5632, 0.2220)
Dy (0.2220, 0.4605, 0.5632)
Dy (0.6429, 0.9865, 0.8039)
Dy (0.0135, 0.1961, 0.3571)
Dy (0.4368, 0.7780, 0.5395)
Ho (0.3009, 0.7419, 0.9058)
Dy (0.5395, 0.4368, 0.7780)
Dy (0.3571, 0.0135, 0.1961)

Summary:
**Calculated density**: 8.2 g/cm³
**Total magnetization**: 0.000 μB per atom
**ΔE to the lowest computed polymorph**: 0 meV per atom
**E_tot**: -4.529 eV per atom
**Formation energy from the elements**: 0.156 eV/atom
**Calculated volume**: 31.7 Å³ per atom

Record 6
The following is a DFT calculation (GGA-PBE) of Dy2Ho5Sc4 after structural relaxation.

a = 3.4972 Å, b = 8.6611 Å, c = 10.7221 Å
α = 85.12°, β = 90.00°, γ = 90.00°
Sites, in units of the cell vectors:
Ho (0.0000, 0.5468, 0.6675)
Sc (0.5000, 0.7988, 0.8715)
Dy (0.0000, 0.9248, 0.6368)
Ho (0.0000, 0.8522, 0.1332)
Sc (0.5000, 0.2487, 0.5739)
Ho (0.0000, 0.4532, 0.3325)
Sc (0.5000, 0.2012, 0.1285)
Sc (0.5000, 0.7513, 0.4261)
Ho (0.0000, 0.5000, 0.0000)
Ho (0.0000, 0.1478, 0.8668)
Dy (0.0000, 0.0752, 0.3632)

Summary:
**Calculated density**: 6.8 g/cm³
**Total magnetization**: 0.000 μB per atom
**ΔE to the lowest computed polymorph**: 0 meV per atom
**E_tot**: -5.109 eV per atom
**Formation energy from the elements**: 0.111 eV/atom
**Calculated volume**: 29.4 Å³ per atom

Record 7
The following is a DFT calculation (GGA-PBE) of Dy2HoSc9 after structural relaxation.

a = 6.3756 Å, b = 6.3756 Å, c = 10.0948 Å
α = 71.59°, β = 71.59°, γ = 60.00°
Site moments in Bohr magnetons follow the coordinates.
Sites, in units of the cell vectors:
Sc (0.0750, 0.5942, 0.7367)  0.12
Dy (0.1353, 0.1353, 0.5940)  0.18
Dy (0.8647, 0.8647, 0.4060)  0.18
Sc (0.3349, 0.3349, 0.9953)  0.05
Sc (0.5942, 0.0750, 0.7367)  0.12
Sc (0.5000, 0.5000, 0.5000)  0.02
Sc (0.9250, 0.4058, 0.2633)  0.12
Sc (0.4058, 0.9250, 0.2633)  0.12
Sc (0.4058, 0.4058, 0.2633)  0.12
Sc (0.6651, 0.6651, 0.0047)  0.05
Ho (0.0000, 0.0000, 0.0000)  0.04
Sc (0.5942, 0.5942, 0.7367)  0.12

Summary:
**Calculated density**: 4.5 g/cm³
**Total magnetization**: 0.174 μB per atom
**E_tot**: -5.637 eV per atom
**Formation energy from the elements**: 0.260 eV/atom
**Calculated volume**: 27.6 Å³ per atom

Record 8
The following is a DFT calculation (GGA-PBE) of DyHo4Sc3 after structural relaxation.

a = 6.0521 Å, b = 7.0039 Å, c = 10.8628 Å
α = 90.00°, β = 90.00°, γ = 90.00°
Sites, in units of the cell vectors:
Ho (0.4834, 0.8689, 0.2460)
Ho (0.1469, 0.8688, 0.5000)
Sc (0.6512, 0.6203, 0.0000)
Dy (0.6512, 0.6184, 0.5000)
Sc (0.4796, 0.3802, 0.2492)
Ho (0.4834, 0.8689, 0.7540)
Sc (0.9796, 0.6198, 0.7492)
Ho (0.6399, 0.1303, 0.5000)
Ho (0.9834, 0.1311, 0.7460)
Ho (0.9834, 0.1311, 0.2540)
Sc (0.9796, 0.6198, 0.2508)
Ho (0.6469, 0.1312, 0.0000)
Sc (0.1512, 0.3797, 0.5000)
Ho (0.1399, 0.8697, 0.0000)
Sc (0.4796, 0.3802, 0.7508)
Dy (0.1512, 0.3816, 0.0000)

Summary:
**Calculated density**: 6.9 g/cm³
**Total magnetization**: 0.000 μB per atom
**ΔE to the lowest computed polymorph**: 0 meV per atom
**E_tot**: -5.215 eV per atom
**Formation energy from the elements**: 0.023 eV/atom
**Calculated volume**: 28.8 Å³ per atom

Record 9
The following is a DFT calculation (GGA-PBE) of Dy2Ho5Sc5 after structural relaxation.

a = 4.8274 Å, b = 7.6357 Å, c = 10.8185 Å
α = 115.07°, β = 90.00°, γ = 108.43°
Sites, in units of the cell vectors:
Sc (0.2497, 0.4993, 0.2536)
Ho (0.5876, 0.1753, 0.2522)
Dy (0.9166, 0.8333, 0.2540)
Ho (0.6649, 0.3297, 0.9995)
Sc (0.7503, 0.5007, 0.7464)
Dy (0.0834, 0.1667, 0.7460)
Ho (0.5000, 0.0000, 0.5000)
Sc (0.0000, 0.0000, 0.0000)
Ho (0.4124, 0.8247, 0.7478)
Sc (0.8291, 0.6581, 0.4985)
Ho (0.3351, 0.6703, 0.0005)
Sc (0.1709, 0.3419, 0.5015)

Summary:
**Calculated density**: 6.7 g/cm³
**Total magnetization**: 0.000 μB per atom
**ΔE to the lowest computed polymorph**: 0 meV per atom
**E_tot**: -5.263 eV per atom
**Formation energy from the elements**: 0.050 eV/atom
**Calculated volume**: 28.2 Å³ per atom